Below is an optimized crystal structure of BiSb3Se, with properties calculated at the GGA-PBE level.

Summary:
Formation energy (no corrections) = 1.122 eV per atom
ΔE to the lowest computed polymorph = 2.90 eV per formula unit

Unit cell a=5.8091 b=5.8091 c=5.8091 alpha=90.00 beta=90.00 gamma=90.00
Positions (direct):
Se: 0.5000 0.5000 0.5000
Sb: 0.5000 0.0000 0.0000
Sb: 0.0000 0.0000 0.5000
Sb: 0.0000 0.5000 0.0000
Bi: 0.0000 0.0000 0.0000